The following is a PBE-GGA calculation of a relaxed structure of NaMoPb2, from the Alexandria database.

Cell lengths 10.385, 10.385, 10.385 Å; angles 152.83, 152.83, 38.80 degrees
Positions (direct):
1 Na 0.000 0.000 0.000
2 Na 0.750 0.250 0.500
3 Mo 0.250 0.750 0.500
4 Mo 0.500 0.500 0.000
5 Pb 0.165 0.625 0.040
6 Pb 0.375 0.415 0.540
7 Pb 0.585 0.125 0.960
8 Pb 0.875 0.835 0.460

Computed properties:
DOS at the Fermi energy = 1.94 states/eV/cell
offset from the most stable computed form = 25.3 kJ per mole of atoms
theoretical density = 7.6 Mg/m³
electronic total energy = -4.071 eV/atom